! Ba4Mg3 | the Alexandria database | meta-GGA SCAN | single point on PBEsol structure; values from VASP
&SYSTEM
  ibrav = 0, nat = 7, ntyp = 2
/
ATOMIC_SPECIES
Ba 137.33 Ba.upf
Mg 24.30 Mg.upf
CELL_PARAMETERS angstrom
6.736 0.000 0.000
-3.368 5.834 0.000
0.000 0.000 7.255
ATOMIC_POSITIONS crystal
Ba 0.000 0.000 0.242
Ba 0.000 0.000 0.758
Ba 0.333 0.667 0.500
Ba 0.667 0.333 0.500
Mg 0.000 0.500 0.000
Mg 0.500 0.000 0.000
Mg 0.500 0.500 0.000
! - Energy: -24.679 eV per atom
! - ΔH_f (0 K): 52 meV per atom
! - Mass density: 3.62 g cm⁻³
! - Relative energy among the computed polymorphs: 52 meV per atom